The following is a DFT calculation (GGA-PBE) of CaLa2CdOs after structural relaxation.

Values from the calculation:
The value obtained for the uncorrected energy is -24.09 eV/cell. For the magnetization, the calculation gives 0.0000 μB/atom. As for the formation energy: -0.018 eV/atom. The value obtained for the calculated density is 6.2 g/cm3.

Unit cell a=5.495 b=5.495 c=5.523 alpha=90.00 beta=90.00 gamma=90.00
Fractional positions:
Ca 0.500 0.500 0.500
La 0.500 0.000 0.000
La 0.000 0.500 0.000
Cd 0.000 0.000 0.500
Os 0.000 0.000 0.000

***

The following is a DFT calculation (GGA-PBE) of Ca2LaCdP after structural relaxation.

Values from the calculation:
The value obtained for the uncorrected energy is -17.98 eV/cell. For the magnetization, the calculation gives 0.2975 μB/atom. As for the formation energy: -0.546 eV/atom. The value obtained for the calculated density is 3.5 g/cm3.

Unit cell a=5.438 b=5.438 c=5.740 alpha=90.00 beta=90.00 gamma=90.00
Site moments in Bohr magnetons follow the coordinates.
Fractional positions:
La 0.000 0.000 0.500  0.22
Cd 0.500 0.500 0.500  0.06
Ca 0.000 0.500 0.000  0.05
Ca 0.500 0.000 0.000  0.05
P 0.000 0.000 0.000  0.00

***

The following is a DFT calculation (GGA-PBE) of CaLa2Pm2Cd5 after structural relaxation.

Values from the calculation:
The value obtained for the uncorrected energy is -56.03 eV/cell. For the magnetization, the calculation gives 0.0000 μB/atom. As for the formation energy: -0.208 eV/atom. The value obtained for the calculated density is 6.7 g/cm3.

Unit cell a=4.856 b=10.916 c=10.916 alpha=90.00 beta=90.00 gamma=90.00
Fractional positions:
Cd 0.500 0.193 0.066
Cd 0.500 0.500 0.000
Cd 0.500 0.566 0.693
Cd 0.500 0.434 0.307
Cd 0.500 0.807 0.934
Cd 0.500 0.693 0.434
Cd 0.500 0.307 0.566
Cd 0.500 0.934 0.193
Cd 0.500 0.000 0.500
Cd 0.500 0.066 0.807
La 0.000 0.825 0.675
La 0.000 0.325 0.825
La 0.000 0.675 0.175
La 0.000 0.175 0.325
Pm 0.000 0.375 0.125
Pm 0.000 0.875 0.375
Pm 0.000 0.125 0.625
Pm 0.000 0.625 0.875
Ca 0.000 0.000 0.000
Ca 0.000 0.500 0.500

***

The following is a DFT calculation (GGA-PBE) of CaLa2Pr2Cd5 after structural relaxation.

Values from the calculation:
The value obtained for the uncorrected energy is -55.96 eV/cell. For the magnetization, the calculation gives 0.0000 μB/atom. As for the formation energy: -0.199 eV/atom. The value obtained for the calculated density is 6.5 g/cm3.

Unit cell a=4.871 b=11.009 c=11.009 alpha=90.00 beta=90.00 gamma=90.00
Fractional positions:
Cd 0.500 0.500 0.000
Cd 0.500 0.434 0.310
Cd 0.500 0.934 0.190
Cd 0.500 0.310 0.566
Cd 0.500 0.566 0.690
Cd 0.500 0.066 0.810
Cd 0.500 0.190 0.066
Cd 0.500 0.000 0.500
Cd 0.500 0.690 0.434
Cd 0.500 0.810 0.934
Pr 0.000 0.627 0.873
Pr 0.000 0.127 0.627
Pr 0.000 0.873 0.373
Pr 0.000 0.373 0.127
La 0.000 0.174 0.326
La 0.000 0.674 0.174
La 0.000 0.826 0.674
La 0.000 0.326 0.826
Ca 0.000 0.500 0.500
Ca 0.000 0.000 0.000

***

The following is a DFT calculation (GGA-PBE) of CaLa2CdPt after structural relaxation.

Values from the calculation:
The value obtained for the uncorrected energy is -21.08 eV/cell. For the magnetization, the calculation gives 0.0000 μB/atom. As for the formation energy: -0.453 eV/atom. The value obtained for the calculated density is 5.8 g/cm3.

Unit cell a=5.623 b=5.623 c=5.672 alpha=90.00 beta=90.00 gamma=90.00
Fractional positions:
Pt 0.000 0.000 0.000
Ca 0.000 0.000 0.500
La 0.000 0.500 0.000
La 0.500 0.000 0.000
Cd 0.500 0.500 0.500

***

The following is a DFT calculation (GGA-PBE) of Ca2LaCdPt after structural relaxation.

Values from the calculation:
The value obtained for the uncorrected energy is -18.34 eV/cell. For the magnetization, the calculation gives 0.0000 μB/atom. As for the formation energy: -0.491 eV/atom. The value obtained for the calculated density is 5.0 g/cm3.

Unit cell a=5.614 b=5.614 c=5.546 alpha=90.00 beta=90.00 gamma=90.00
Fractional positions:
Ca 0.500 0.000 0.000
Ca 0.000 0.500 0.000
Pt 0.000 0.000 0.000
La 0.000 0.000 0.500
Cd 0.500 0.500 0.500